Compound: YCrClO4
Source: Alexandria
Functional: PBE+U
Structure: relaxed

Results
VASP energy = -7.100 eV per atom

Lattice parameters (Å, degrees): 10.0051 7.2152 6.6849 90.00 105.32 90.00
With the nearest neighbours (Å) after each atom.
Space group C2/m (No. 12)
Symmetry-distinct sites (fractional):
Y 0.2231 0.0000 0.1143 [4 per cell]  6 O 2.33-2.52
Cr 0.1394 0.5000 0.2686 [4 per cell]  4 O 1.64-1.70
Cl 0.0143 0.0000 0.7627 [4 per cell]  2 Y 2.70-2.71, 1 O 3.02
O 0.0297 0.5000 0.7709 [4 per cell]  1 Cr 1.64
O 0.1911 0.3174 0.1476 [8 per cell]  1 Cr 1.70
O 0.2140 0.5000 0.5182 [4 per cell]  1 Cr 1.64